The following is a DFT calculation (GGA-PBE) of a relaxed TbTm4Mg5 crystal.

energy: -3.112 eV per atom

Lattice parameters (Å, degrees): 3.762 3.762 18.810 90.00 90.00 90.00
Fractional positions:
Mg  0.500  0.500  0.103
Mg  0.500  0.500  0.301
Mg  0.500  0.500  0.500
Mg  0.500  0.500  0.897
Mg  0.500  0.500  0.699
Tm  0.000  0.000  0.599
Tb  0.000  0.000  0.000
Tm  0.000  0.000  0.401
Tm  0.000  0.000  0.202
Tm  0.000  0.000  0.798

=====

The following is a DFT calculation (GGA-PBE) of a relaxed Na2TcW crystal.

excess energy over the best structure of this formula in the dataset: 0 meV per atom
energy: -4.773 eV per atom

Lattice parameters (Å, degrees): 8.363 8.363 6.389 49.12 49.12 90.00
Fractional positions:
Tc  0.250  0.750  0.500
Tc  0.500  0.500  0.000
Na  0.609  0.125  0.250
W  0.750  0.250  0.500
Na  0.141  0.625  0.250
W  0.000  0.000  0.000
Na  0.875  0.859  0.750
Na  0.375  0.391  0.750

=====

The following is a DFT calculation (GGA-PBE) of a relaxed BeCr2Au crystal.

excess energy over the best structure of this formula in the dataset: 160 meV per atom
energy: -6.342 eV per atom

Lattice parameters (Å, degrees): 4.229 4.229 4.229 60.00 60.00 60.00
Fractional positions:
Au  0.500  0.500  0.500
Be  0.250  0.250  0.250
Cr  0.000  0.000  0.000
Cr  0.750  0.750  0.750

=====

| no. | total magnetic moment (μB per cell) | energy of formation from the pure elements (eV per atom) |
| --- | --- | --- |
| 1 | 0.0 | -0.063 |
| 2 | 1.0 | 1.716 |
| 3 | 0.6 | 0.221 |